# 1
First-principles (PBE) data for crystalline Hg2PSe at its relaxed geometry, as listed in Alexandria.

a = 3.253 Å, b = 3.253 Å, c = 8.252 Å
α = 90.00°, β = 90.00°, γ = 90.00°
Space group P4/mmm (No. 123)
One atom of each set of equivalent atoms:
Hg: 0.000 0.000 0.225 x2
P: 0.500 0.500 0.000 x1
Se: 0.500 0.500 0.500 x1

Summary:
Its crystal system is tetragonal. The value obtained for the energy relative to the elements, uncorrected is 0.554 eV per atom. As for the total magnetization: 0.0 Bohr magnetons per cell.

# 2
First-principles (PBE) data for crystalline Ce2ScMoN5 at its relaxed geometry, as listed in Alexandria.

a = 3.413 Å, b = 13.477 Å, c = 10.188 Å
α = 90.00°, β = 90.00°, γ = 90.00°
Space group Cmc2_1 (No. 36)
One atom of each set of equivalent atoms:
Ce: 0.000 0.114 0.000 x4
Ce: 0.000 0.147 0.611 x4
Sc: 0.000 0.213 0.320 x4
Mo: 0.000 0.473 0.776 x4
N: 0.000 0.048 0.363 x4
N: 0.000 0.282 0.977 x4
N: 0.000 0.321 0.687 x4
N: 0.000 0.372 0.318 x4
N: 0.000 0.488 0.096 x4

Summary:
Its crystal system is orthorhombic. The value obtained for the energy relative to the elements, uncorrected is -1.232 eV per atom. As for the total magnetization: 0.0 Bohr magnetons per cell.

# 3
First-principles (PBE) data for crystalline NaMgMo3 at its relaxed geometry, as listed in Alexandria.

a = 4.604 Å, b = 4.604 Å, c = 4.604 Å
α = 90.00°, β = 90.00°, γ = 90.00°
Space group Pm-3m (No. 221)
One atom of each set of equivalent atoms:
Na: 0.000 0.000 0.000 x1
Mg: 0.500 0.500 0.500 x1
Mo: 0.000 0.000 0.500 x3

Summary:
Its crystal system is cubic. As for the total magnetization: 1.0 Bohr magnetons per cell. Its excess energy over the best structure of this formula in the dataset is 159.0 meV/atom. For the formation energy, the calculation gives 2445 meV/atom.

# 4
First-principles (PBE) data for crystalline SrNiAg2Os at its relaxed geometry, as listed in Alexandria.

a = 4.906 Å, b = 4.906 Å, c = 4.555 Å
α = 90.00°, β = 90.00°, γ = 90.00°
Space group P4/mmm (No. 123)
One atom of each set of equivalent atoms:
Sr: 0.000 0.000 0.000 x1
Ni: 0.500 0.500 0.500 x1
Ag: 0.000 0.500 0.500 x2
Os: 0.500 0.500 0.000 x1

Summary:
Its crystal system is tetragonal. As for the total magnetization: 0.5 Bohr magnetons per cell. For the formation energy, the calculation gives 582 meV/atom.

# 5
First-principles (PBE) data for crystalline Tl2GaSn2 at its relaxed geometry, as listed in Alexandria.

a = 4.242 Å, b = 4.242 Å, c = 17.180 Å
α = 90.00°, β = 90.00°, γ = 90.00°
Space group I4/mmm (No. 139)
One atom of each set of equivalent atoms:
Tl: 0.000 0.000 0.097 x4
Ga: 0.000 0.000 0.500 x2
Sn: 0.000 0.500 0.250 x4

Summary:
Its crystal system is tetragonal. As for the total magnetization: 0.0 Bohr magnetons per cell. Its excess energy over the best structure of this formula in the dataset is 142.6 meV/atom. For the formation energy, the calculation gives 175 meV/atom.

# 6
First-principles (PBE) data for crystalline Pt3SBr at its relaxed geometry, as listed in Alexandria.

a = 4.608 Å, b = 4.608 Å, c = 4.608 Å
α = 90.00°, β = 90.00°, γ = 90.00°
Space group Pm-3m (No. 221)
One atom of each set of equivalent atoms:
Pt: 0.000 0.000 0.500 x3
S: 0.000 0.000 0.000 x1
Br: 0.500 0.500 0.500 x1

Summary:
Its crystal system is cubic. The value obtained for the energy relative to the elements, uncorrected is 0.606 eV per atom. As for the total magnetization: 0.0 Bohr magnetons per cell. Its excess energy over the best structure of this formula in the dataset is 0.0 meV/atom.

# 7
First-principles (PBE) data for crystalline PuBeRu at its relaxed geometry, as listed in Alexandria.

a = 3.144 Å, b = 3.144 Å, c = 9.698 Å
α = 90.00°, β = 90.00°, γ = 90.00°
Space group I4mm (No. 107)
One atom of each set of equivalent atoms:
Pu: 0.000 0.000 0.000 x2
Be: 0.000 0.000 0.292 x2
Ru: 0.000 0.000 0.723 x2

Summary:
Its crystal system is tetragonal. As for the total magnetization: 10.2 Bohr magnetons per cell. Its excess energy over the best structure of this formula in the dataset is 75.0 meV/atom. For the formation energy, the calculation gives -120 meV/atom.

# 8
First-principles (PBE) data for crystalline Ba6NaCa12 at its relaxed geometry, as listed in Alexandria.

a = 13.9033 Å, b = 13.9033 Å, c = 16.7268 Å
α = 90.00°, β = 90.00°, γ = 120.00°
Space group R-3 (No. 148, hexagonal axes)
One atom of each set of equivalent atoms:
Ba: 0.0303 0.4354 0.2098 x18
Na: 0.0000 0.0000 0.5000 x3
Ca: 0.0400 0.1804 0.3063 x18
Ca: 0.0619 0.8604 0.9096 x18

Summary:
Its crystal system is trigonal. As for the total magnetization: 0.0 Bohr magnetons per cell. For the formation energy, the calculation gives 103 meV/atom.

# 9
First-principles (PBE) data for crystalline KAs at its relaxed geometry, as listed in Alexandria.

a = 9.864 Å, b = 9.864 Å, c = 9.864 Å
α = 90.00°, β = 90.00°, γ = 90.00°
Space group I-43m (No. 217)
One atom of each set of equivalent atoms:
K: 0.210 0.210 0.210 x8
As: 0.094 0.094 0.906 x8

Summary:
Its crystal system is cubic. As for the total magnetization: 3.8 Bohr magnetons per cell. Its excess energy over the best structure of this formula in the dataset is 508.6 meV/atom. For the formation energy, the calculation gives 45 meV/atom.

# 10
First-principles (PBE) data for crystalline AlHgBr2 at its relaxed geometry, as listed in Alexandria.

a = 14.311 Å, b = 3.496 Å, c = 5.770 Å
α = 90.00°, β = 113.56°, γ = 90.00°
Space group C2/m (No. 12)
One atom of each set of equivalent atoms:
Al: 0.000 0.000 0.000 x2
Hg: 0.000 0.500 0.500 x2
Br: 0.144 0.500 0.143 x4

Summary:
Its crystal system is monoclinic. The value obtained for the energy relative to the elements, uncorrected is -0.334 eV per atom. As for the total magnetization: 0.0 Bohr magnetons per cell. Its excess energy over the best structure of this formula in the dataset is 184.1 meV/atom.

# 11
First-principles (PBE) data for crystalline MgUZnIn at its relaxed geometry, as listed in Alexandria.

a = 7.128 Å, b = 7.128 Å, c = 7.128 Å
α = 90.00°, β = 90.00°, γ = 90.00°
Space group F-43m (No. 216)
One atom of each set of equivalent atoms:
Mg: 0.000 0.000 0.000 x4
U: 0.000 0.000 0.500 x4
Zn: 0.250 0.250 0.250 x4
In: 0.250 0.250 0.750 x4

Summary:
Its crystal system is cubic. As for the total magnetization: 11.4 Bohr magnetons per cell. For the formation energy, the calculation gives 154 meV/atom.

# 12
First-principles (PBE) data for crystalline RbYCdSe3 at its relaxed geometry, as listed in Alexandria.

a = 9.247 Å, b = 4.287 Å, c = 10.397 Å
α = 90.00°, β = 108.96°, γ = 90.00°
Space group P2_1/m (No. 11)
One atom of each set of equivalent atoms:
Rb: 0.216 0.250 0.237 x2
Y: 0.331 0.750 0.866 x2
Cd: 0.084 0.250 0.612 x2
Se: 0.116 0.250 0.871 x2
Se: 0.225 0.750 0.548 x2
Se: 0.468 0.750 0.151 x2

Summary:
Its crystal system is monoclinic. The value obtained for the energy relative to the elements, uncorrected is -1.344 eV per atom. As for the total magnetization: 0.0 Bohr magnetons per cell.

Electronic total energy? In order: -1.82 -9.08 -4.64 -4.30 -2.98 -4.18 -9.23 -1.84 -2.83 -2.18 -4.07 -4.48 eV per atom.